Compound: BiBPd2Pt
Source: the Alexandria database
Functional: PBE
Structure: optimized geometry

Properties
- Energy of formation: -0.2021 eV per atom
- Raw total energy: -5.60 eV/atom
- Total magnetization: 0.0 μB per cell
- D(E_F): 1.45 states/eV per cell

Unit cell a=4.3969 b=4.3969 c=4.2552 alpha=90.00 beta=90.00 gamma=90.00
Closest atoms and distances in Å follow each position.
Space group P4/mmm (No. 123)
One atom of each set of equivalent atoms:
Bi 0.0000 0.0000 0.0000  8 Pd 3.06, 4 Pt 3.11
B 0.5000 0.5000 0.5000  2 Pt 2.13, 4 Pd 2.20
Pd 0.0000 0.5000 0.5000  2 B 2.20
Pt 0.5000 0.5000 0.0000  2 B 2.13